VASP calculation (PBE-GGA) on a relaxed structure of LiTcP2.

## Properties
**Energy of formation**: -0.045 eV per atom
**SG**: I-4m2
**Electronic total energy**: -5.82 eV/atom
**Relative energy among the computed polymorphs**: 0.3874 eV per atom

Cell and atoms, written as POSCAR:
```
LiTcP2
1.0
4.8168 -0.0001 0.0000
2.1949 4.2876 0.0000
-3.5058 -2.1438 2.5129
Li Tc P
1 1 2
direct
0.7500 0.2500 0.5000 Li
0.5000 0.5000 0.0000 Tc
0.0000 0.0000 0.0000 P
0.2500 0.7500 0.5000 P
```